# ReW2Se (GGA-PBE, relaxed)
data_ReW2Se
_symmetry_space_group_name_H-M 'P 4/m m m'
_symmetry_Int_Tables_number 123
_symmetry_space_group_name_Hall '-P 4 2'
_cell_length_a 3.775
_cell_length_b 3.775
_cell_length_c 4.531
_cell_angle_alpha 90.00
_cell_angle_beta 90.00
_cell_angle_gamma 90.00
loop_
_atom_site_label
_atom_site_type_symbol
_atom_site_fract_x
_atom_site_fract_y
_atom_site_fract_z
Re1 Re 0.000 0.000 0.000
W1 W 0.000 0.500 0.500
Se1 Se 0.500 0.500 0.000
# Raw total energy = -9.5662 eV/atom